1.
DFT (GGA-PBE) results for a relaxed structure of AlBP2O.

```
AlBP2O
1.0
4.816 0.000 0.000
0.000 4.816 0.000
0.000 0.000 3.348
Al B P O
1 1 2 1
Direct
0.000 0.000 0.000 Al
0.500 0.500 0.500 B
0.000 0.500 0.000 P
0.500 0.000 0.000 P
0.000 0.000 0.500 O
```

Calculated values
Uncorrected energy (eV/cell): -22.910
Energy above the most stable polymorph in this dataset (eV/atom): 0.624



2.
DFT (GGA-PBE) results for a relaxed structure of Ba3Os2O9.

```
Ba3Os2O9
1.0
5.092 2.940 4.753
-5.092 2.940 4.753
0.000 -5.880 4.753
Ba Os O
6 4 18
Direct
0.084 0.750 0.416 Ba
0.250 0.584 0.916 Ba
0.416 0.084 0.750 Ba
0.584 0.916 0.250 Ba
0.750 0.416 0.084 Ba
0.916 0.250 0.584 Ba
0.149 0.149 0.149 Os
0.351 0.351 0.351 Os
0.649 0.649 0.649 Os
0.851 0.851 0.851 Os
0.073 0.912 0.748 O
0.088 0.252 0.927 O
0.104 0.396 0.250 O
0.248 0.412 0.573 O
0.250 0.104 0.396 O
0.252 0.927 0.088 O
0.396 0.250 0.104 O
0.412 0.573 0.248 O
0.427 0.752 0.588 O
0.573 0.248 0.412 O
0.588 0.427 0.752 O
0.604 0.750 0.896 O
0.748 0.073 0.912 O
0.750 0.896 0.604 O
0.752 0.588 0.427 O
0.896 0.604 0.750 O
0.912 0.748 0.073 O
0.927 0.088 0.252 O
```

Calculated values
Uncorrected energy (eV/cell): -198.038



3.
DFT (GGA-PBE) results for a relaxed structure of Sr2TaCl.

```
Sr2TaCl
1.0
-4.211 4.211 4.139
4.211 -4.211 4.139
4.211 4.211 -4.139
Sr Ta Cl
4 2 2
Direct
0.079 0.625 0.954 Sr
0.375 0.329 0.454 Sr
0.671 0.125 0.046 Sr
0.875 0.921 0.546 Sr
0.250 0.750 0.500 Ta
0.500 0.500 0.000 Ta
0.000 0.000 0.000 Cl
0.750 0.250 0.500 Cl
```

Calculated values
Uncorrected energy (eV/cell): -31.171
Energy above the most stable polymorph in this dataset (eV/atom): 0.544